An optimized crystal structure of P2IrRhCl, computed with PBE-GGA. Values from VASP.

Geometry as Quantum ESPRESSO input:
```
&SYSTEM
  ibrav = 0, nat = 5, ntyp = 4
/
ATOMIC_SPECIES
Ir 192.22 Ir.upf
Rh 102.91 Rh.upf
Cl 35.45 Cl.upf
P 30.97 P.upf
CELL_PARAMETERS angstrom
-3.664 -2.398 1.146
0.606 -2.654 -3.616
2.665 -2.857 2.544
ATOMIC_POSITIONS crystal
Ir 0.500 0.500 0.500
Rh 0.000 0.000 0.000
Cl 0.000 0.000 0.500
P 0.500 0.000 0.000
P 0.000 0.500 0.000
```

uncorrected energy	-4.71	eV per atom
density of states at the Fermi level	4.322	states/eV per cell
formation energy from raw total energies	103.0	kJ/mol of atoms